# Co2AsO

Co2AsO after structural relaxation (PBE+U, Alexandria).

## Properties
For the energy above the lowest structure with this stoichiometry, the calculation gives 0.0 kJ per mole of atoms. Its density of states at the Fermi level is 0.42 states/eV per atom. The total DFT energy (no corrections) is -5.1623 eV/atom.

abc: 5.324 5.324 5.813
angles: 62.75 62.75 90.00
Last column: magnetic moment on the atom in μB.
Positions (direct):
1 O 0.250 0.750 0.500  0.15
2 O 0.500 0.500 0.000  0.15
3 As 0.750 0.250 0.500  -0.13
4 As 0.000 0.000 0.000  -0.13
5 Co 0.875 0.806 0.750  2.43
6 Co 0.375 0.444 0.750  2.36
7 Co 0.556 0.125 0.250  2.39
8 Co 0.194 0.625 0.250  2.38